# 1
The following is a PBEsol calculation of SiHNF2 after structural relaxation, from Alexandria.

```
5
Lattice="3.550 0.000 0.000 0.000 3.550 0.000 0.000 0.000 3.486" Properties=species:S:1:pos:R:3 pbc="T T T"
Si 0.000 0.000 0.000
H 1.775 1.775 1.743
N 0.000 0.000 1.743
F 0.000 1.775 0.000
F 1.775 0.000 0.000
```

Values from the calculation:
Space group = P4/mmm (123)
DFT total energy = -5.074 eV per atom


# 2
The following is a PBEsol calculation of SnH3NF3 after structural relaxation, from Alexandria.

```
32
Lattice="5.312 -6.224 0.000 5.312 6.224 0.000 -1.743 0.000 5.380" Properties=species:S:1:pos:R:3 pbc="T T T"
Sn 2.033 1.247 0.040
Sn 1.162 -1.247 2.730
Sn 7.719 1.247 2.650
Sn 6.848 -1.247 5.340
H 3.068 2.996 3.343
H 3.043 1.246 3.365
H 4.405 2.093 2.653
H 5.347 2.093 0.037
H 4.942 2.996 4.727
H 3.915 -1.246 0.675
H 4.966 1.246 4.704
H 3.939 -2.996 0.653
H 3.534 -2.093 5.343
H 4.476 -2.093 2.727
H 5.837 -1.246 2.015
H 5.813 -2.996 2.037
N 3.669 2.097 3.401
N 4.341 2.097 4.668
N 4.540 -2.097 0.712
N 5.212 -2.097 1.978
F 1.223 1.933 1.894
F 3.712 2.435 0.478
F 2.117 0.088 4.109
F 0.351 -1.933 4.584
F 2.989 -0.088 1.419
F 6.040 2.435 2.212
F 2.840 -2.435 3.168
F 5.892 0.088 3.960
F 8.530 1.933 0.796
F 6.764 -0.088 1.271
F 5.169 -2.435 4.902
F 7.658 -1.933 3.486
```

Values from the calculation:
Space group = C2/c (15)
DFT total energy = -4.985 eV per atom


# 3
The following is a PBEsol calculation of SnH6N2F4 after structural relaxation, from Alexandria.

```
26
Lattice="5.141 0.000 0.000 0.000 6.728 0.000 -3.351 0.000 7.377" Properties=species:S:1:pos:R:3 pbc="T T T"
Sn 0.000 0.000 0.000
Sn -1.676 3.364 3.688
H -0.746 0.913 3.296
H -2.421 2.452 6.985
H -0.612 1.215 4.978
H 1.064 2.149 1.290
H 2.164 1.493 0.188
H 0.488 1.871 3.877
H 1.301 4.857 3.500
H -0.374 5.235 7.188
H 0.726 4.580 6.087
H 2.401 5.513 2.398
H 4.211 4.277 0.392
H 2.535 5.816 4.080
N -0.512 1.616 4.031
N 1.163 1.748 0.343
N 0.626 4.980 7.034
N 2.301 5.112 3.345
F -0.797 0.005 1.841
F -2.473 3.359 5.529
F -0.143 4.483 4.354
F 1.532 5.609 0.666
F 0.257 1.119 6.711
F 1.933 2.245 3.023
F 4.262 3.369 1.848
F 2.586 6.723 5.536
```

Values from the calculation:
Space group = P2_1/c (14)
DFT total energy = -5.088 eV per atom


# 4
The following is a PBEsol calculation of SnH8N2F6 after structural relaxation, from Alexandria.

```
17
Lattice="6.053 0.000 0.000 -3.026 5.242 0.000 0.000 0.000 4.664" Properties=species:S:1:pos:R:3 pbc="T T T"
Sn 0.000 0.000 0.000
H 0.000 2.526 1.853
H -0.839 3.979 1.853
H 0.000 3.494 0.447
H 2.187 1.263 2.811
H 0.839 3.979 1.853
H 3.026 1.747 4.217
H 3.865 1.263 2.811
H 3.026 2.716 2.811
N 0.000 3.494 1.480
N 3.026 1.747 3.184
F 0.000 1.649 3.554
F -1.598 4.417 3.554
F 1.428 0.824 1.110
F 1.598 4.417 3.554
F 4.625 0.824 1.110
F 3.026 3.593 1.110
```

Values from the calculation:
Space group = P-3m1 (164)
DFT total energy = -4.936 eV per atom


# 5
The following is a PBEsol calculation of TiH8N2F5 after structural relaxation, from Alexandria.

```
64
Lattice="6.475 0.000 0.000 0.000 7.739 0.000 0.000 0.000 11.020" Properties=species:S:1:pos:R:3 pbc="T T T"
Ti 0.000 0.000 0.000
Ti 0.000 3.870 0.000
Ti 3.237 0.000 5.510
Ti 3.237 3.870 5.510
H 0.160 1.935 3.051
H 0.195 4.973 6.517
H 0.195 6.636 6.517
H 0.211 1.064 8.080
H 0.211 2.805 8.080
H 0.505 5.805 4.233
H 1.159 1.935 6.939
H 1.276 1.935 4.320
H 1.962 5.805 9.830
H 2.078 5.805 1.429
H 2.732 1.935 9.743
H 3.026 4.934 2.570
H 3.026 6.675 2.570
H 3.043 1.103 1.007
H 3.043 2.767 1.007
H 3.077 5.805 8.561
H 3.398 1.935 2.459
H 3.432 4.973 10.013
H 3.432 6.636 10.013
H 3.449 1.064 8.450
H 3.449 2.805 8.450
H 3.742 5.805 1.277
H 4.396 1.935 9.591
H 4.513 1.935 1.190
H 5.199 5.805 6.700
H 5.316 5.805 4.081
H 5.970 1.935 6.787
H 6.263 4.934 2.940
H 6.263 6.675 2.940
H 6.280 1.103 4.503
H 6.280 2.767 4.503
H 6.314 5.805 7.969
N 0.275 1.935 4.077
N 0.272 1.935 7.475
N 2.965 5.805 1.964
N 2.963 5.805 9.587
N 3.512 1.935 1.433
N 3.509 1.935 9.056
N 6.203 5.805 3.546
N 6.200 5.805 6.943
F 0.051 4.069 9.071
F 0.051 7.540 9.071
F 0.519 5.805 0.242
F 1.353 4.291 5.468
F 1.353 7.318 5.468
F 1.885 0.422 10.978
F 1.885 3.448 10.978
F 2.718 1.935 5.752
F 3.186 0.199 3.561
F 3.186 3.670 3.561
F 3.288 4.069 7.459
F 3.288 7.540 7.459
F 3.756 5.805 5.268
F 4.590 4.291 0.042
F 4.590 7.318 0.042
F 5.122 0.422 5.552
F 5.122 3.448 5.552
F 5.956 1.935 10.779
F 6.424 0.199 1.949
F 6.424 3.670 1.949
```

Values from the calculation:
Space group = Pnma (62)
DFT total energy = -5.397 eV per atom


# 6
The following is a PBEsol calculation of TlHNF2 after structural relaxation, from Alexandria.

```
5
Lattice="3.328 0.000 0.000 0.000 3.328 0.000 0.000 0.000 4.332" Properties=species:S:1:pos:R:3 pbc="T T T"
Tl 0.000 0.000 0.000
H 1.664 1.664 2.166
N 1.664 1.664 0.000
F 0.000 1.664 2.166
F 1.664 0.000 2.166
```

Values from the calculation:
Space group = P4/mmm (123)
DFT total energy = -3.654 eV per atom


- Look up the DFT total energy of the fifth one.
  -5.397 eV per atom